Entry 1:
A relaxed structure of Dy8Al2Cd. Source: Alexandria, functional GGA-PBE.

a b c (Å): 5.2239 8.3633 8.4296
angles (deg): 118.10 108.05 90.00
Positions (direct):
Al: 0.2262 0.6234 0.4524
Al: 0.7738 0.3766 0.5476
Dy: 0.6827 0.9539 0.3654
Dy: 0.8575 0.8025 0.7151
Dy: 0.6004 0.4570 0.2008
Dy: 0.0653 0.7199 0.1306
Dy: 0.9347 0.2801 0.8694
Dy: 0.3996 0.5430 0.7992
Dy: 0.1425 0.1975 0.2849
Dy: 0.3173 0.0461 0.6346
Cd: 0.5000 0.0000 0.0000

Output
The space group is C2/m. The density of states at the Fermi level is 0.8881 states/eV per atom. For the energy above the lowest structure with this stoichiometry, the calculation gives 0 meV per atom.

---

Entry 2:
A relaxed structure of DyAlCd2. Source: Alexandria, functional GGA-PBE.

a b c (Å): 5.0243 5.0243 5.0243
angles (deg): 60.00 60.00 60.00
Positions (direct):
Cd: 0.7500 0.7500 0.7500
Cd: 0.2500 0.2500 0.2500
Dy: 0.5000 0.5000 0.5000
Al: 0.0000 0.0000 0.0000

Output
The space group is Fm-3m. The density of states at the Fermi level is 0.3338 states/eV per atom.

---

Entry 3:
A relaxed structure of Dy5Al4Cd. Source: Alexandria, functional GGA-PBE.

a b c (Å): 3.5983 3.5983 18.4395
angles (deg): 90.00 90.00 90.00
Positions (direct):
Al: 0.0000 0.0000 0.2062
Al: 0.0000 0.0000 0.7938
Al: 0.0000 0.0000 0.4029
Al: 0.0000 0.0000 0.5971
Dy: 0.5000 0.5000 0.1092
Dy: 0.5000 0.5000 0.3055
Dy: 0.5000 0.5000 0.8908
Dy: 0.5000 0.5000 0.5000
Dy: 0.5000 0.5000 0.6945
Cd: 0.0000 0.0000 0.0000

Output
The space group is P4/mmm. The density of states at the Fermi level is 0.4718 states/eV per atom.

---

Entry 4:
A relaxed structure of Dy2Al2Cd3. Source: Alexandria, functional GGA-PBE.

a b c (Å): 3.4382 4.4471 10.7828
angles (deg): 101.90 90.00 90.00
Positions (direct):
Al: 0.5000 0.7172 0.4343
Al: 0.5000 0.2828 0.5657
Cd: 0.0000 0.0000 0.0000
Cd: 0.5000 0.4261 0.8523
Cd: 0.5000 0.5739 0.1477
Dy: 0.0000 0.1593 0.3186
Dy: 0.0000 0.8407 0.6814

Output
The space group is Cmmm. The density of states at the Fermi level is 0.4058 states/eV per atom.

---

Entry 5:
A relaxed structure of Dy12AlCd6. Source: Alexandria, functional GGA-PBE.

a b c (Å): 8.9569 8.9569 8.9569
angles (deg): 111.23 111.23 111.23
Positions (direct):
Dy: 0.8381 0.2625 0.8972
Dy: 0.7375 0.1028 0.1619
Dy: 0.1619 0.7375 0.1028
Dy: 0.1028 0.1619 0.7375
Dy: 0.2625 0.8972 0.8381
Dy: 0.2009 0.3209 0.4662
Dy: 0.3209 0.4662 0.2009
Dy: 0.4662 0.2009 0.3209
Dy: 0.6791 0.5338 0.7991
Dy: 0.5338 0.7991 0.6791
Dy: 0.8972 0.8381 0.2625
Dy: 0.7991 0.6791 0.5338
Cd: 0.5771 0.3587 0.0546
Cd: 0.9454 0.4229 0.6413
Cd: 0.4229 0.6413 0.9454
Cd: 0.6413 0.9454 0.4229
Cd: 0.0546 0.5771 0.3587
Cd: 0.3587 0.0546 0.5771
Al: 0.0000 0.0000 0.0000

Output
The space group is R-3. The density of states at the Fermi level is 1.1410 states/eV per atom.

---

Entry 6:
A relaxed structure of Dy12Al5Cd2. Source: Alexandria, functional GGA-PBE.

a b c (Å): 10.4693 8.1099 8.1985
angles (deg): 76.74 90.00 130.20
Positions (direct):
Cd: 0.7203 0.0000 0.0000
Cd: 0.2797 0.0000 0.0000
Dy: 0.6683 0.6552 0.8265
Dy: 0.3317 0.3448 0.1735
Dy: 0.1627 0.7827 0.4070
Dy: 0.0131 0.3448 0.1735
Dy: 0.3800 0.2173 0.5930
Dy: 0.6200 0.7827 0.4070
Dy: 0.9869 0.6552 0.8265
Dy: 0.8373 0.2173 0.5930
Dy: 0.3869 0.7738 0.7370
Dy: 0.8993 0.7985 0.1746
Dy: 0.1007 0.2015 0.8254
Dy: 0.6131 0.2262 0.2630
Al: 0.6095 0.2191 0.8572
Al: 0.7677 0.5354 0.5438
Al: 0.3905 0.7809 0.1428
Al: 0.0000 0.0000 0.5000
Al: 0.2323 0.4646 0.4562

Output
The space group is C2/m. The density of states at the Fermi level is 1.0516 states/eV per atom.

---

Entry 7:
A relaxed structure of Dy3Al2Cd3. Source: Alexandria, functional GGA-PBE.

a b c (Å): 4.6023 5.9649 15.3296
angles (deg): 90.00 90.00 112.69
Positions (direct):
Cd: 0.6430 0.2859 0.7500
Cd: 0.3570 0.7141 0.2500
Cd: 0.6215 0.2429 0.0362
Cd: 0.3785 0.7571 0.5362
Cd: 0.6215 0.2429 0.4638
Cd: 0.3785 0.7571 0.9638
Dy: 0.9148 0.8297 0.1101
Dy: 0.6421 0.2842 0.2500
Dy: 0.0852 0.1703 0.6101
Dy: 0.3579 0.7158 0.7500
Dy: 0.9148 0.8297 0.3899
Dy: 0.0852 0.1703 0.8899
Al: 0.7942 0.5884 0.8923
Al: 0.2058 0.4116 0.1077
Al: 0.2058 0.4116 0.3923
Al: 0.7942 0.5884 0.6077

Output
The space group is Cmcm. The density of states at the Fermi level is 0.6439 states/eV per atom.

---

Entry 8:
A relaxed structure of DyAlCd. Source: Alexandria, functional GGA-PBE.

a b c (Å): 3.3542 3.3542 6.5003
angles (deg): 104.95 104.95 90.00
Last column: magnetic moment on the atom in μB.
Positions (direct):
Dy: 0.6250 0.6250 0.2499  0.10
Al: 0.2899 0.2899 0.5797  0.00
Cd: 0.9352 0.9352 0.8704  0.00

Output
The space group is I4mm. The density of states at the Fermi level is 0.6855 states/eV per atom.

---

Entry 9:
A relaxed structure of Dy2AlCd3. Source: Alexandria, functional GGA-PBE.

a b c (Å): 3.5039 4.8446 8.3850
angles (deg): 90.00 90.00 90.00
Positions (direct):
Cd: 0.5000 0.5000 0.6613
Cd: 0.5000 0.0000 0.8327
Cd: 0.5000 0.0000 0.1710
Dy: 0.0000 0.5000 0.0089
Dy: 0.0000 0.0000 0.4927
Al: 0.5000 0.5000 0.3335

Output
The space group is Pmm2. The density of states at the Fermi level is 0.7310 states/eV per atom. For the energy above the lowest structure with this stoichiometry, the calculation gives 0 meV per atom.

---

Entry 10:
A relaxed structure of Dy4AlCd3. Source: Alexandria, functional GGA-PBE.

a b c (Å): 3.6871 3.6871 15.0154
angles (deg): 90.00 90.00 90.00
Positions (direct):
Cd: 0.5000 0.5000 0.7549
Cd: 0.5000 0.5000 0.2451
Cd: 0.5000 0.5000 0.5000
Dy: 0.0000 0.0000 0.8828
Dy: 0.0000 0.0000 0.1172
Dy: 0.0000 0.0000 0.6277
Dy: 0.0000 0.0000 0.3723
Al: 0.5000 0.5000 0.0000

Output
The space group is P4/mmm. The density of states at the Fermi level is 0.9273 states/eV per atom. For the energy above the lowest structure with this stoichiometry, the calculation gives 0 meV per atom.

---

Entry 11:
A relaxed structure of Dy5Al2Cd2. Source: Alexandria, functional GGA-PBE.

a b c (Å): 7.6605 7.7340 9.1259
angles (deg): 115.07 90.00 90.00
Positions (direct):
Cd: 0.0000 0.2190 0.4380
Cd: 0.5000 0.7190 0.4380
Cd: 0.5000 0.2810 0.5620
Cd: 0.0000 0.7810 0.5620
Dy: 0.1780 0.1833 0.7371
Dy: 0.5000 0.5000 0.0000
Dy: 0.1780 0.4462 0.2629
Dy: 0.8220 0.8167 0.2629
Dy: 0.3220 0.6833 0.7371
Dy: 0.6780 0.3167 0.2629
Dy: 0.6780 0.0538 0.7371
Dy: 0.8220 0.5538 0.7371
Dy: 0.0000 0.0000 0.0000
Dy: 0.3220 0.9462 0.2629
Al: 0.1190 0.6186 0.0000
Al: 0.3810 0.1186 0.0000
Al: 0.8810 0.3814 0.0000
Al: 0.6190 0.8814 0.0000

Output
The space group is Cmce. The density of states at the Fermi level is 0.8226 states/eV per atom.

---

Entry 12:
A relaxed structure of Dy4Al2Cd. Source: Alexandria, functional GGA-PBE.

a b c (Å): 5.0701 5.0701 9.5240
angles (deg): 74.56 74.56 60.00
Positions (direct):
Al: 0.0957 0.0957 0.7129
Al: 0.9043 0.9043 0.2871
Dy: 0.7940 0.7940 0.6179
Dy: 0.6194 0.6194 0.1417
Dy: 0.3806 0.3806 0.8583
Dy: 0.2060 0.2060 0.3821
Cd: 0.0000 0.0000 0.0000

Output
The space group is R-3m. The density of states at the Fermi level is 1.2631 states/eV per atom. For the energy above the lowest structure with this stoichiometry, the calculation gives 172 meV per atom.

---

Entry 13:
A relaxed structure of Dy6Al2Cd. Source: Alexandria, functional GGA-PBE.

a b c (Å): 5.0414 7.2129 8.7937
angles (deg): 114.21 106.71 90.00
Positions (direct):
Dy: 0.8315 0.5798 0.6627
Dy: 0.1685 0.4202 0.3373
Dy: 0.5000 0.7445 0.0000
Dy: 0.5000 0.2555 0.0000
Dy: 0.8315 0.0829 0.6627
Dy: 0.1685 0.9171 0.3373
Cd: 0.0000 0.0000 0.0000
Al: 0.3331 0.3329 0.6658
Al: 0.6669 0.6671 0.3342

Output
The space group is C2/m. The density of states at the Fermi level is 1.4965 states/eV per atom.

---

Entry 14:
A relaxed structure of Dy6AlCd. Source: Alexandria, functional GGA-PBE.

a b c (Å): 4.8008 4.8008 9.6071
angles (deg): 90.00 90.00 90.00
Positions (direct):
Dy: 0.5000 0.0000 0.2572
Dy: 0.5000 0.0000 0.7428
Dy: 0.0000 0.5000 0.2572
Dy: 0.5000 0.5000 0.0000
Dy: 0.0000 0.5000 0.7428
Dy: 0.5000 0.5000 0.5000
Al: 0.0000 0.0000 0.5000
Cd: 0.0000 0.0000 0.0000

Output
The space group is P4/mmm. The density of states at the Fermi level is 1.6181 states/eV per atom.

---

Entry 15:
A relaxed structure of DyAlCd2. Source: Alexandria, functional GGA-PBE.

a b c (Å): 4.7096 4.3790 4.3790
angles (deg): 90.00 90.00 90.00
Positions (direct):
Cd: 0.0000 0.5000 0.0000
Cd: 0.0000 0.0000 0.5000
Dy: 0.5000 0.5000 0.5000
Al: 0.5000 0.0000 0.0000

Output
The space group is P4/mmm. The density of states at the Fermi level is 0.7623 states/eV per atom.

---

Entry 16:
A relaxed structure of Dy7Al5Cd. Source: Alexandria, functional GGA-PBE.

a b c (Å): 6.2750 7.8993 7.8993
angles (deg): 77.41 66.60 66.60
Positions (direct):
Dy: 0.2775 0.2225 0.2225
Dy: 0.2447 0.7553 0.7553
Dy: 0.0202 0.6646 0.2950
Dy: 0.5264 0.8032 0.1440
Dy: 0.5264 0.1440 0.8032
Dy: 0.6070 0.3930 0.3930
Dy: 0.0202 0.2950 0.6646
Cd: 0.9285 0.0715 0.0715
Al: 0.9890 0.4767 0.9868
Al: 0.5475 0.4767 0.9868
Al: 0.7760 0.7240 0.7240
Al: 0.5475 0.9868 0.4767
Al: 0.9890 0.9868 0.4767

Output
The space group is Imm2. The density of states at the Fermi level is 0.8322 states/eV per atom.

---

Entry 17:
A relaxed structure of Dy3Al2Cd4. Source: Alexandria, functional GGA-PBE.

a b c (Å): 4.8177 5.9698 9.0423
angles (deg): 114.96 90.00 113.80
Positions (direct):
Dy: 0.0000 0.0000 0.0000
Dy: 0.3347 0.6694 0.3305
Dy: 0.6653 0.3306 0.6695
Cd: 0.0758 0.1516 0.4049
Cd: 0.9242 0.8484 0.5951
Cd: 0.7024 0.4047 0.0404
Cd: 0.2976 0.5953 0.9596
Al: 0.6084 0.2168 0.2758
Al: 0.3916 0.7832 0.7242

Output
The space group is C2/m. The density of states at the Fermi level is 0.5367 states/eV per atom.

---

Entry 18:
A relaxed structure of DyAlCd. Source: Alexandria, functional GGA-PBE.

a b c (Å): 3.5714 4.7068 4.7068
angles (deg): 120.00 90.00 90.00
Positions (direct):
Dy: 0.6666 0.6667 0.3333
Al: 0.1667 0.3333 0.6667
Cd: 0.1667 0.0000 0.0000

Output
The space group is P-6m2. The density of states at the Fermi level is 0.4835 states/eV per atom.

---

Entry 19:
A relaxed structure of Dy3Al3Cd2. Source: Alexandria, functional GGA-PBE.

a b c (Å): 4.5482 6.0232 14.8297
angles (deg): 90.00 90.00 112.18
Last column: magnetic moment on the atom in μB.
Positions (direct):
Al: 0.6373 0.2746 0.7500  0.00
Al: 0.6008 0.2015 0.0439  0.00
Al: 0.3627 0.7254 0.2500  0.00
Al: 0.3992 0.7985 0.5439  0.00
Al: 0.6008 0.2015 0.4561  0.00
Al: 0.3992 0.7985 0.9561  0.00
Cd: 0.2155 0.4309 0.4054  0.00
Cd: 0.2155 0.4309 0.0946  0.00
Cd: 0.7845 0.5691 0.9054  0.00
Cd: 0.7845 0.5691 0.5946  0.00
Dy: 0.0768 0.1537 0.6150  0.08
Dy: 0.9232 0.8463 0.1150  0.08
Dy: 0.0768 0.1537 0.8850  0.08
Dy: 0.3496 0.6991 0.7500  0.12
Dy: 0.6504 0.3009 0.2500  0.12
Dy: 0.9232 0.8463 0.3850  0.08

Output
The space group is Cmcm. The density of states at the Fermi level is 0.6118 states/eV per atom.

---

Entry 20:
A relaxed structure of Dy4Al3Cd. Source: Alexandria, functional GGA-PBE.

a b c (Å): 3.6913 4.5755 11.8059
angles (deg): 90.00 90.00 90.00
Last column: magnetic moment on the atom in μB.
Positions (direct):
Cd: 0.5000 0.5000 0.0681  0.00
Dy: 0.0000 0.0000 0.1601  0.07
Dy: 0.0000 0.5000 0.8394  -0.07
Dy: 0.5000 0.0000 0.6554  -0.06
Dy: 0.5000 0.5000 0.3477  0.05
Al: 0.0000 0.0000 0.4333  0.00
Al: 0.5000 0.0000 0.9278  0.00
Al: 0.0000 0.5000 0.5683  0.00

Output
The space group is Pmm2. The density of states at the Fermi level is 0.9238 states/eV per atom. For the energy above the lowest structure with this stoichiometry, the calculation gives 38 meV per atom.

---

Total DFT energy (no corrections) for every record listed, in sequence, given in eV per atom: -4.30 -2.71 -4.27 -3.07 -3.53 -4.19 -3.32 -3.29 -2.96 -3.45 -3.86 -3.89 -3.98 -4.17 -2.81 -4.21 -3.13 -3.47 -3.73 -4.16.
Formation energy for every record listed, in sequence, given in eV per atom: -0.187 -0.169 -0.384 -0.296 -0.133 -0.206 -0.317 -0.202 -0.343 -0.339 -0.271 -0.059 0.019 -0.135 -0.263 -0.218 -0.355 -0.381 -0.367 -0.341.